! RbTb4S6 | Alexandria via LeMat-Bulk | PBE | optimized geometry; values from VASP
&SYSTEM
  ibrav = 0, nat = 22, ntyp = 3
/
ATOMIC_SPECIES
Rb 85.47 Rb.upf
S 32.06 S.upf
Tb 158.93 Tb.upf
CELL_PARAMETERS angstrom
-3.792 -1.130 -0.478
3.303 -1.561 -5.897
4.732 -19.155 7.721
ATOMIC_POSITIONS angstrom
Rb -0.288 -5.996 -0.164
S 0.800 -3.002 0.749
Tb 1.753 -4.246 -3.871
S 2.491 -14.990 -0.957
Tb 0.561 -1.337 -1.291
S 1.752 -6.855 2.302
S 5.005 -18.623 4.299
S 0.470 -10.142 3.621
Tb 1.701 -12.492 -0.595
Tb 1.383 -13.120 3.411
S 0.859 -9.786 -0.308
Tb 3.682 -20.509 2.636
S 3.443 -18.843 0.596
Rb 4.531 -15.849 1.509
S -1.896 -0.565 -0.239
S 2.095 -15.599 3.622
S 2.147 -6.246 -2.277
S 3.383 -12.059 1.653
Tb 2.859 -8.725 -2.066
Tb 2.490 -17.599 5.216
Tb 2.541 -9.354 1.940
S -0.762 -3.222 -2.954
! crystal system = orthorhombic
! formation energy without anion corrections = -21.42 eV/f.u.

***

! TiMn2Ni6 | Alexandria via LeMat-Bulk | PBE | optimized geometry; values from VASP
&SYSTEM
  ibrav = 0, nat = 9, ntyp = 3
/
ATOMIC_SPECIES
Ti 47.87 Ti.upf
Mn 54.94 Mn.upf
Ni 58.69 Ni.upf
CELL_PARAMETERS angstrom
-4.953 1.612 1.655
0.055 -3.444 3.519
1.775 4.498 0.929
ATOMIC_POSITIONS angstrom
Ti -2.476 0.806 0.828
Mn -1.886 2.856 2.824
Ni -3.734 -0.723 4.433
Ni -0.232 1.252 1.229
Ni -2.891 1.414 4.874
Ni 0.637 1.753 3.342
Ni 0.611 3.389 1.671
Mn -1.237 -0.189 3.279
Ni -3.760 0.913 2.761
! crystal system = trigonal
! energy of formation = 0.0008 eV per atom

***

! KTlSnO3 | Alexandria via LeMat-Bulk | PBE | optimized geometry; values from VASP
&SYSTEM
  ibrav = 0, nat = 12, ntyp = 4
/
ATOMIC_SPECIES
K 39.10 K.upf
O 16.00 O.upf
Sn 118.71 Sn.upf
Tl 204.38 Tl.upf
CELL_PARAMETERS angstrom
5.736 -0.040 0.000
1.179 6.418 0.000
0.590 3.209 6.376
ATOMIC_POSITIONS angstrom
K 4.891 3.179 1.113
O 4.330 8.367 5.895
O 2.613 6.408 2.666
O 3.174 1.220 0.481
K 2.613 6.408 5.263
Sn 2.613 6.408 0.695
Tl 5.481 6.388 2.993
Sn 4.891 3.179 5.681
O 4.891 3.179 3.710
O 0.896 4.449 5.895
Tl 2.024 3.199 3.384
O 6.609 5.138 0.481
! crystal system = monoclinic
! formation energy without anion corrections = -8.01 eV/f.u.

***

! Tl2BiAu | Alexandria via LeMat-Bulk | PBE | optimized geometry; values from VASP
&SYSTEM
  ibrav = 0, nat = 4, ntyp = 3
/
ATOMIC_SPECIES
Tl 204.38 Tl.upf
Au 196.97 Au.upf
Bi 208.98 Bi.upf
CELL_PARAMETERS angstrom
5.388 0.000 0.000
2.694 4.666 0.000
2.694 1.555 4.399
ATOMIC_POSITIONS angstrom
Tl 8.082 4.666 3.299
Tl 2.694 1.555 1.100
Au 5.388 3.111 2.200
Bi 0.000 0.000 0.000
! crystal system = cubic
! energy of formation = 0.0824 eV per atom

***

What spin magnetization values result from the calculations? In sequence: 0.000, 1.017, 0.000, 0.000 μB per atom.